Record 1
A relaxed Tl2HgS3 crystal. Source: Alexandria via LeMat-Bulk, functional PBE.

a b c (Å): 7.7754 7.7754 7.7754
angles (deg): 146.83 58.84 132.87
Fractional positions:
Tl: 0.1636 0.0000 0.1636
Tl: 0.8364 0.0000 0.8364
Hg: 0.5012 0.0012 0.5000
S: 0.2678 0.2678 0.0000
S: 0.5750 0.2352 0.3398
S: 0.8954 0.2352 0.6602

Formation energy from raw total energies in meV/atom: -93

---

Record 2
A relaxed ErThBiC crystal. Source: Alexandria via LeMat-Bulk, functional PBE.

a b c (Å): 4.6812 4.6812 9.4187
angles (deg): 90.00 90.00 90.00
Fractional positions:
Er: 0.2500 0.7500 0.0000
Er: 0.7500 0.2500 0.0000
Th: 0.2500 0.2500 0.3189
Th: 0.7500 0.7500 0.6811
Bi: 0.2500 0.2500 0.6945
Bi: 0.7500 0.7500 0.3055
C: 0.2500 0.2500 0.0812
C: 0.7500 0.7500 0.9188

Formation enthalpy at 0 K in eV/atom: -0.53

---

Record 3
A relaxed Y3Al9Zn2 crystal. Source: Alexandria via LeMat-Bulk, functional PBE.

a b c (Å): 8.2770 8.2770 8.2770
angles (deg): 149.96 104.71 83.13
Fractional positions:
Y: 0.0000 0.0000 0.0000
Y: 0.3144 0.3144 0.0000
Y: 0.6856 0.6856 0.0000
Al: 0.0305 0.6581 0.3724
Al: 0.1397 0.8620 0.2777
Al: 0.2858 0.6581 0.6276
Al: 0.4157 0.1380 0.2777
Al: 0.5000 0.0000 0.5000
Al: 0.5843 0.8620 0.7223
Al: 0.7142 0.3419 0.3724
Al: 0.8603 0.1380 0.7223
Al: 0.9695 0.3419 0.6276
Zn: 0.2945 0.5000 0.7945
Zn: 0.7055 0.5000 0.2055

Formation enthalpy at 0 K in eV/atom: -0.37